(1)
Cs2H6Pt: relaxed, PBE.

Lattice parameters (Å, degrees): 5.183 5.976 5.976 60.14 89.79 89.79
Sites, in units of the cell vectors:
H  0.183  0.868  0.868
H  0.184  0.869  0.262
Cs  0.703  0.667  0.667
H  0.184  0.262  0.869
H  0.816  0.131  0.738
Pt  0.000  0.000  0.000
Cs  0.297  0.333  0.333
H  0.817  0.132  0.132
H  0.816  0.738  0.131

symmetry: C2/m, No. 12

(2)
Cs2HPt: relaxed, PBE.

Lattice parameters (Å, degrees): 3.678 9.800 9.218 103.74 89.93 75.22
Sites, in units of the cell vectors:
Cs  0.351  0.722  0.556
Cs  0.653  0.278  0.944
Pt  0.001  0.500  0.750
Cs  0.649  0.278  0.444
Pt  0.999  0.500  0.250
Cs  0.347  0.722  0.056
H  0.501  0.500  0.750
H  0.499  0.500  0.250

symmetry: P-1, No. 2

(3)
Cs2HPt: relaxed, PBE.

Lattice parameters (Å, degrees): 3.814 3.814 10.251 79.28 79.28 60.00
Sites, in units of the cell vectors:
Cs  0.102  0.102  0.694
Pt  0.000  0.000  0.000
H  0.500  0.500  0.500
Cs  0.898  0.898  0.306

symmetry: R-3m, No. 166

(4)
Cs3H12Pt5: relaxed, PBE.

Lattice parameters (Å, degrees): 11.215 11.215 11.215 109.47 109.47 109.47
Sites, in units of the cell vectors:
Pt  0.625  0.875  0.250
H  0.940  0.577  0.884
H  0.944  0.384  0.807
H  0.056  0.440  0.363
H  0.060  0.637  0.444
H  0.423  0.060  0.616
H  0.384  0.944  0.307
Cs  0.750  0.875  0.625
H  0.137  0.693  0.077
H  0.307  0.444  0.384
Cs  0.375  0.750  0.625
Cs  0.875  0.125  0.250
H  0.556  0.693  0.116
Cs  0.250  0.125  0.375
H  0.577  0.940  0.384
H  0.616  0.056  0.693
H  0.077  0.193  0.137
Pt  0.875  0.250  0.625
Pt  0.250  0.875  0.125
H  0.077  0.884  0.440
H  0.423  0.363  0.307
Cs  0.875  0.750  0.125
Pt  0.500  0.500  0.500
H  0.444  0.137  0.060
H  0.556  0.863  0.940
H  0.863  0.307  0.923
H  0.616  0.560  0.423
H  0.444  0.307  0.884
H  0.137  0.444  0.560
Pt  0.500  0.500  0.000
H  0.693  0.556  0.616
Cs  0.625  0.250  0.375
H  0.577  0.637  0.693
H  0.560  0.944  0.137
H  0.637  0.060  0.944
H  0.060  0.423  0.116
Cs  0.250  0.625  0.875
Pt  0.625  0.750  0.875
H  0.884  0.077  0.940
H  0.944  0.560  0.637
Pt  0.000  0.500  0.500
Cs  0.125  0.250  0.875
H  0.056  0.616  0.193
H  0.637  0.577  0.193
Cs  0.125  0.875  0.750
Pt  0.000  0.000  0.000
Pt  0.375  0.250  0.125
H  0.307  0.863  0.423
H  0.116  0.923  0.060
Pt  0.250  0.375  0.625
Cs  0.625  0.375  0.750
Pt  0.000  0.000  0.500
Pt  0.500  0.000  0.000
H  0.807  0.884  0.944
Pt  0.875  0.625  0.750
Pt  0.375  0.125  0.750
Pt  0.500  0.000  0.500
H  0.440  0.056  0.863
H  0.863  0.556  0.440
H  0.884  0.807  0.444
H  0.440  0.384  0.077
H  0.384  0.440  0.577
H  0.363  0.940  0.056
H  0.363  0.423  0.807
H  0.193  0.077  0.637
H  0.940  0.363  0.556
Pt  0.125  0.375  0.250
H  0.693  0.137  0.577
H  0.923  0.807  0.863
Pt  0.125  0.750  0.375
Pt  0.000  0.500  0.000
H  0.116  0.193  0.556
H  0.193  0.116  0.056
H  0.560  0.616  0.923
Cs  0.750  0.375  0.125
H  0.923  0.116  0.560
Cs  0.375  0.625  0.250
H  0.807  0.923  0.363
Pt  0.750  0.625  0.375
Pt  0.750  0.125  0.875

symmetry: Ia-3d, No. 230

(5)
CsH6Pt: relaxed, PBE.

Lattice parameters (Å, degrees): 6.469 6.469 4.582 45.10 45.10 60.00
Sites, in units of the cell vectors:
H  0.001  0.001  0.375
Pt  0.000  0.000  0.000
H  0.999  0.376  0.625
H  0.376  0.999  0.625
H  0.001  0.624  0.375
Cs  0.500  0.500  0.500
H  0.624  0.001  0.375
H  0.999  0.999  0.625

symmetry: R-3m, No. 166

(6)
CsH3Pt3: relaxed, PBE.

Lattice parameters (Å, degrees): 4.482 8.105 8.105 120.00 90.00 90.00
Sites, in units of the cell vectors:
H  0.250  0.074  0.675
Pt  0.750  0.225  0.111
H  0.750  0.400  0.074
Cs  0.750  0.333  0.667
H  0.250  0.600  0.926
Pt  0.750  0.886  0.775
H  0.750  0.926  0.325
Pt  0.250  0.114  0.225
Pt  0.250  0.111  0.886
H  0.750  0.675  0.600
H  0.250  0.325  0.400
Cs  0.250  0.667  0.333
Pt  0.750  0.889  0.114
Pt  0.250  0.775  0.889

symmetry: P6_3/m, No. 176

(7)
Cs2HPt: relaxed, PBE.

Lattice parameters (Å, degrees): 5.822 5.822 5.822 60.00 60.00 60.00
Each line ends with the local moment (μB).
Sites, in units of the cell vectors:
Pt  0.500  0.500  0.500  0.54
H  0.000  0.000  0.000  0.16
Cs  0.250  0.250  0.250  0.00
Cs  0.750  0.750  0.750  0.00

symmetry: Fm-3m, No. 225

(8)
Cs2HPt: relaxed, PBE.

Lattice parameters (Å, degrees): 7.286 7.286 7.286 107.24 107.24 114.03
Each line ends with the local moment (μB).
Sites, in units of the cell vectors:
H  0.750  0.250  0.500  0.09
Pt  0.250  0.750  0.500  0.69
Cs  0.125  0.577  0.952  0.01
Cs  0.827  0.875  0.452  0.01
Pt  0.000  0.000  0.000  0.69
Cs  0.423  0.375  0.548  0.01
Cs  0.625  0.173  0.048  0.01
H  0.500  0.500  0.000  0.09

symmetry: I-42d, No. 122

(9)
Cs4H4Pt: relaxed, PBE.

Lattice parameters (Å, degrees): 4.653 9.108 9.108 86.26 75.20 75.20
Sites, in units of the cell vectors:
Pt  0.000  0.000  0.000
Cs  0.547  0.186  0.721
H  0.074  0.814  0.038
H  0.888  0.038  0.186
H  0.112  0.962  0.814
Cs  0.268  0.279  0.186
Cs  0.732  0.721  0.814
Cs  0.453  0.814  0.279
H  0.926  0.186  0.962

symmetry: I4/m, No. 87

(10)
CsH2Pt2: relaxed, PBE.

Lattice parameters (Å, degrees): 3.877 3.877 6.820 73.49 73.49 90.00
Sites, in units of the cell vectors:
Pt  0.259  0.259  0.483
Pt  0.741  0.741  0.517
H  0.250  0.750  0.500
Cs  0.000  0.000  0.000
H  0.750  0.250  0.500

symmetry: I4/mmm, No. 139

(11)
Cs2H6Pt: relaxed, PBE.

Lattice parameters (Å, degrees): 6.291 6.291 6.291 60.00 60.00 60.00
Sites, in units of the cell vectors:
H  0.186  0.814  0.186
Pt  0.000  0.000  0.000
H  0.186  0.814  0.814
H  0.186  0.186  0.814
H  0.814  0.186  0.814
Cs  0.750  0.750  0.750
Cs  0.250  0.250  0.250
H  0.814  0.186  0.186
H  0.814  0.814  0.186

symmetry: Fm-3m, No. 225

(12)
CsH4Pt: relaxed, PBE.

Lattice parameters (Å, degrees): 4.523 6.385 7.896 113.85 108.79 90.00
Sites, in units of the cell vectors:
Cs  0.911  0.835  0.670
Pt  0.319  0.564  0.129
H  0.216  0.665  0.331
H  0.397  0.540  0.770
H  0.784  0.335  0.669
H  0.000  0.682  0.000
H  0.397  0.230  0.770
Pt  0.681  0.436  0.871
Cs  0.089  0.165  0.330
H  0.603  0.460  0.230
H  0.000  0.318  0.000
H  0.603  0.770  0.230

symmetry: C2/m, No. 12

no.,uncorrected energy (eV/atom)
1,-3.464
2,-2.908
3,-2.276
4,-3.637
5,-3.502
6,-4.170
7,-2.399
8,-2.352
9,-2.830
10,-4.073
11,-3.508
12,-3.588